{
  "formula": "KTa2Hg",
  "functional": "PBE",
  "state": "optimized geometry",
  "formation_enthalpy_0k_mev_per_atom": 564,
  "lattice": [[-2.8079, -1.8510, 0.8012], [1.9635, -2.6439, 0.7733], [2.4769, 0.1959, 9.1329]],
  "species": ["Ta", "Hg", "K", "Ta"],
  "fractional_positions": [[0.5000, 0.2689, 0.2306], [0.0000, 0.5581, 0.4426], [0.5000, 0.7606, 0.7401], [0.0000, 0.9124, 0.0868]]
}